# TmReAsO

An optimized crystal structure of TmReAsO (GGA-PBE, the Open Quantum Materials Database).

Unit cell a=4.289 b=4.289 c=6.698 alpha=90.00 beta=90.00 gamma=90.00
Sites, in units of the cell vectors:
As  0.750  0.750  0.223
As  0.250  0.250  0.777
O  0.750  0.250  0.000
O  0.250  0.750  0.000
Re  0.250  0.250  0.146
Re  0.750  0.750  0.854
Tm  0.750  0.250  0.500
Tm  0.250  0.750  0.500

Computed properties:
ΔE to the lowest computed polymorph (meV per atom): 1645
Magnetic moment (μB per formula unit): 0.01
Crystal system: tetragonal

***

# Ta2Ni

An optimized crystal structure of Ta2Ni (GGA-PBE, the Open Quantum Materials Database).

Unit cell a=5.125 b=5.125 c=8.230 alpha=90.00 beta=90.00 gamma=117.84
Sites, in units of the cell vectors:
Ni  0.000  0.000  0.000
Ni  0.172  0.828  0.250
Ni  0.000  0.000  0.500
Ni  0.828  0.172  0.750
Ta  0.672  0.328  0.061
Ta  0.176  0.335  0.250
Ta  0.665  0.824  0.250
Ta  0.672  0.328  0.439
Ta  0.328  0.672  0.561
Ta  0.335  0.176  0.750
Ta  0.824  0.665  0.750
Ta  0.328  0.672  0.939

Computed properties:
Magnetic moment (μB per formula unit): 0.00
Crystal system: orthorhombic
ΔH_f (0 K) (eV per formula unit): -0.17

***

# TbScAl6

An optimized crystal structure of TbScAl6 (GGA-PBE, the Open Quantum Materials Database).

Unit cell a=6.119 b=6.119 c=4.618 alpha=90.00 beta=90.00 gamma=120.00
Sites, in units of the cell vectors:
Al  0.518  0.036  0.000
Al  0.518  0.482  0.000
Al  0.964  0.482  0.000
Al  0.358  0.179  0.500
Al  0.821  0.179  0.500
Al  0.821  0.642  0.500
Sc  0.000  0.000  0.000
Tb  0.333  0.667  0.500

Computed properties:
Magnetic moment (μB per formula unit): 0.00
Crystal system: hexagonal
Electronic total energy (eV/atom): -4.580

***

Copy entry 1 word for word.
# TmReAsO

An optimized crystal structure of TmReAsO (GGA-PBE, the Open Quantum Materials Database).

Unit cell a=4.289 b=4.289 c=6.698 alpha=90.00 beta=90.00 gamma=90.00
Sites, in units of the cell vectors:
As  0.750  0.750  0.223
As  0.250  0.250  0.777
O  0.750  0.250  0.000
O  0.250  0.750  0.000
Re  0.250  0.250  0.146
Re  0.750  0.750  0.854
Tm  0.750  0.250  0.500
Tm  0.250  0.750  0.500

Computed properties:
ΔE to the lowest computed polymorph (meV per atom): 1645
Magnetic moment (μB per formula unit): 0.01
Crystal system: tetragonal